Computed, not measured: an optimized crystal structure of SrCe2SnN4 at the GGA-PBE level of DFT.

Cell lengths 3.693, 12.275, 12.248 Å; angles 90.00, 90.00, 90.00 degrees
Space group Cmcm (No. 63)
Unique sites:
Sr1 0.000 0.102 0.250 (multiplicity 4)
Ce1 0.000 0.373 0.039 (multiplicity 8)
Sn1 0.000 0.162 0.750 (multiplicity 4)
N1 0.000 0.000 0.000 (multiplicity 4)
N2 0.000 0.267 0.615 (multiplicity 8)
N3 0.000 0.429 0.250 (multiplicity 4)

Formation energy without anion corrections = -0.786 eV/atom
Theoretical density = 6.492 Mg/m³
Uncorrected energy = -228.6 eV/cell


Computed, not measured: an optimized crystal structure of NaOsPt2 at the GGA-PBE level of DFT.

Cell lengths 6.342, 6.342, 6.342 Å; angles 90.00, 90.00, 90.00 degrees
Space group Fm-3m (No. 225)
Unique sites:
Na1 0.000 0.000 0.000 (multiplicity 4)
Os1 0.000 0.000 0.500 (multiplicity 4)
Pt1 0.250 0.250 0.250 (multiplicity 8)

Theoretical density = 15.715 Mg/m³
Uncorrected energy = -90.8 eV/cell
Offset from the most stable computed form = 0 meV/atom
ΔE_f = 1.934 eV per formula unit


Computed, not measured: an optimized crystal structure of Re2Tc7Ru2 at the GGA-PBE level of DFT.

Cell lengths 6.642, 7.466, 13.538 Å; angles 90.00, 102.22, 90.00 degrees
Space group C2/c (No. 15)
Unique sites:
Re1 0.003 0.177 0.000 (multiplicity 8)
Tc1 0.000 0.497 0.250 (multiplicity 4)
Tc2 0.134 0.497 0.448 (multiplicity 8)
Tc3 0.245 0.185 0.849 (multiplicity 8)
Tc4 0.247 0.185 0.350 (multiplicity 8)
Ru1 0.095 0.001 0.177 (multiplicity 8)

Theoretical density = 12.760 Mg/m³
Uncorrected energy = -457.9 eV/cell
ΔE_f = 1.534 eV per formula unit